# NdDy3Tl4Se8 (PBE, relaxed)
data_NdDy3Tl4Se8
_chemical_formula_sum 'Nd1 Dy3 Tl4 Se8'
_space_group_name_H-M_alt 'P 1'
_space_group_IT_number 1
_cell_length_a 8.443
_cell_length_b 9.175
_cell_length_c 8.444
_cell_angle_alpha 117.43
_cell_angle_beta 120.00
_cell_angle_gamma 90.00
loop_
_space_group_symop_operation_xyz
'x,y,z'
loop_
_atom_site_label
_atom_site_fract_x
_atom_site_fract_y
_atom_site_fract_z
Dy1 0.500 0.500 0.500
Se1 0.266 0.297 0.531
Se2 0.239 0.707 0.479
Tl1 0.000 0.000 0.500
Tl2 0.500 0.000 0.000
Se3 0.761 0.293 0.521
Se4 0.761 0.293 0.032
Tl3 0.500 0.000 0.500
Se5 0.728 0.707 0.968
Nd1 0.000 0.500 0.000
Se6 0.239 0.707 0.968
Dy2 0.500 0.500 0.000
Tl4 0.000 0.000 0.000
Se7 0.734 0.703 0.469
Dy3 0.000 0.500 0.500
Se8 0.272 0.293 0.032
# - Size of the total moment: 0.000 μB per formula unit
# - Electronic total energy: -0.17926 hartree per atom
# - Crystal system: trigonal
# - Space group: R-3m, No. 166

# Nd2Dy3TmSe6 (PBE, relaxed)
data_Nd2Dy3TmSe6
_chemical_formula_sum 'Nd2 Dy3 Tm1 Se6'
_space_group_name_H-M_alt 'P 1'
_space_group_IT_number 1
_cell_length_a 4.094
_cell_length_b 8.292
_cell_length_c 9.210
_cell_angle_alpha 103.04
_cell_angle_beta 102.84
_cell_angle_gamma 90.00
loop_
_space_group_symop_operation_xyz
'x,y,z'
loop_
_atom_site_label
_atom_site_fract_x
_atom_site_fract_y
_atom_site_fract_z
Dy1 0.500 0.500 0.000
Se1 0.662 0.072 0.325
Tm1 0.500 0.000 0.000
Nd1 0.170 0.337 0.339
Se2 0.338 0.409 0.676
Se3 0.338 0.928 0.675
Dy2 0.172 0.834 0.344
Nd2 0.830 0.663 0.661
Se4 0.004 0.757 0.008
Se5 0.996 0.243 0.992
Se6 0.662 0.591 0.324
Dy3 0.828 0.166 0.656
# - Size of the total moment: 0.000 μB per formula unit
# - DOS at the Fermi energy: 5.8 states/eV per cell
# - Electronic total energy: -0.21399 hartree per atom
# - Crystal system: monoclinic
# - Space group: C2/m, No. 12

# NdDyTm2Se4 (PBE, relaxed)
data_NdDyTm2Se4
_chemical_formula_sum 'Nd1 Dy1 Tm2 Se4'
_space_group_name_H-M_alt 'P 1'
_space_group_IT_number 1
_cell_length_a 4.015
_cell_length_b 7.230
_cell_length_c 7.015
_cell_angle_alpha 71.42
_cell_angle_beta 90.00
_cell_angle_gamma 90.00
loop_
_space_group_symop_operation_xyz
'x,y,z'
loop_
_atom_site_label
_atom_site_fract_x
_atom_site_fract_y
_atom_site_fract_z
Tm1 0.500 0.000 0.500
Se1 0.000 0.766 0.739
Dy1 0.000 0.500 0.500
Nd1 0.500 0.500 0.000
Tm2 0.000 0.000 0.000
Se2 0.500 0.239 0.748
Se3 0.500 0.761 0.252
Se4 0.000 0.234 0.261
# - Size of the total moment: 0.000 μB per formula unit
# - DOS at the Fermi energy: 4.0 states/eV per cell
# - Electronic total energy: -0.21157 hartree per atom
# - Crystal system: monoclinic
# - Space group: P2/m, No. 10

# Nd3DyTm3Se8 (PBE, relaxed)
data_Nd3DyTm3Se8
_chemical_formula_sum 'Nd3 Dy1 Tm3 Se8'
_space_group_name_H-M_alt 'P 1'
_space_group_IT_number 1
_cell_length_a 8.171
_cell_length_b 8.172
_cell_length_c 8.267
_cell_angle_alpha 119.61
_cell_angle_beta 90.00
_cell_angle_gamma 120.00
loop_
_space_group_symop_operation_xyz
'x,y,z'
loop_
_atom_site_label
_atom_site_fract_x
_atom_site_fract_y
_atom_site_fract_z
Se1 0.256 0.513 0.269
Se2 0.251 0.987 0.738
Nd1 0.000 0.000 0.000
Se3 0.749 0.498 0.262
Nd2 0.500 0.500 0.000
Tm1 0.500 0.000 0.500
Nd3 0.000 0.500 0.000
Se4 0.749 0.013 0.262
Tm2 0.000 0.500 0.500
Se5 0.737 0.987 0.738
Se6 0.251 0.502 0.738
Se7 0.744 0.487 0.731
Tm3 0.500 0.500 0.500
Se8 0.263 0.013 0.262
Dy1 0.000 0.000 0.500
# - Size of the total moment: 0.000 μB per formula unit
# - DOS at the Fermi energy: 6.8 states/eV per cell
# - Electronic total energy: -0.21473 hartree per atom
# - Crystal system: trigonal
# - Space group: R-3m, No. 166

# NdDyTm2Se6 (PBE, relaxed)
data_NdDyTm2Se6
_chemical_formula_sum 'Nd1 Dy1 Tm2 Se6'
_space_group_name_H-M_alt 'P 1'
_space_group_IT_number 1
_cell_length_a 7.230
_cell_length_b 7.230
_cell_length_c 7.691
_cell_angle_alpha 61.96
_cell_angle_beta 61.96
_cell_angle_gamma 59.99
loop_
_space_group_symop_operation_xyz
'x,y,z'
loop_
_atom_site_label
_atom_site_fract_x
_atom_site_fract_y
_atom_site_fract_z
Tm1 0.011 0.011 0.966
Se1 0.729 0.131 0.748
Dy1 0.317 0.317 0.048
Tm2 0.514 0.514 0.457
Se2 0.393 0.728 0.747
Se3 0.909 0.615 0.246
Se4 0.131 0.393 0.748
Se5 0.230 0.909 0.246
Nd1 0.812 0.812 0.563
Se6 0.615 0.230 0.246
# - Size of the total moment: 0.000 μB per formula unit
# - DOS at the Fermi energy: 0.0 states/eV per cell
# - Electronic total energy: -0.21172 hartree per atom
# - Crystal system: trigonal
# - Space group: R3, No. 146

# NdDy2TmSe4 (PBE, relaxed)
data_NdDy2TmSe4
_chemical_formula_sum 'Nd1 Dy2 Tm1 Se4'
_space_group_name_H-M_alt 'P 1'
_space_group_IT_number 1
_cell_length_a 4.039
_cell_length_b 7.055
_cell_length_c 7.232
_cell_angle_alpha 71.30
_cell_angle_beta 90.00
_cell_angle_gamma 90.00
loop_
_space_group_symop_operation_xyz
'x,y,z'
loop_
_atom_site_label
_atom_site_fract_x
_atom_site_fract_y
_atom_site_fract_z
Dy1 0.500 0.000 0.500
Tm1 0.000 0.500 0.500
Se1 0.000 0.757 0.738
Nd1 0.500 0.500 0.000
Dy2 0.000 0.000 0.000
Se2 0.500 0.750 0.259
Se3 0.000 0.243 0.262
Se4 0.500 0.250 0.741
# - Size of the total moment: 0.000 μB per formula unit
# - DOS at the Fermi energy: 4.2 states/eV per cell
# - Electronic total energy: -0.21272 hartree per atom
# - Crystal system: monoclinic
# - Space group: P2/m, No. 10

Number 1: ΔE_f (raw) -1.38 eV/atom. Number 2: ΔE_f (raw) -1.76 eV/atom. Number 3: ΔE_f (raw) -1.73 eV/atom. Number 4: ΔE_f (raw) -1.83 eV/atom. Number 5: ΔE_f (raw) -1.84 eV/atom. Number 6: ΔE_f (raw) -1.74 eV/atom.